Record 1
{
  "formula": "LuAlCdCo",
  "functional": "PBE",
  "state": "optimized geometry",
  "cell": [[0.000, 3.279, 3.279], [3.279, 0.000, 3.279], [3.279, 3.279, 0.000]],
  "species": ["Lu", "Al", "Cd", "Co"],
  "frac_coords": [[0.250, 0.250, 0.250], [0.000, 0.000, 0.000], [0.500, 0.500, 0.500], [0.750, 0.750, 0.750]],
  "magnetic_moment_mub_per_fu": 0.01,
  "final_energy_ha_per_atom": -0.1508,
  "space_group": "F-43m, No. 216"
}

---

Record 2
{
  "formula": "LuAlCdCo",
  "functional": "PBE",
  "state": "optimized geometry",
  "cell": [[0.225, -4.394, -1.486], [0.134, -3.485, 3.067], [-3.668, -2.807, 0.487]],
  "species": ["Co", "Lu", "Al", "Cd"],
  "frac_coords": [[0.750, 0.750, 0.750], [0.500, 0.500, 0.500], [0.000, 0.000, 0.000], [0.250, 0.250, 0.250]],
  "magnetic_moment_mub_per_fu": 0.85,
  "final_energy_ha_per_atom": -0.1537,
  "space_group": "F-43m, No. 216"
}

---

Record 3
{
  "formula": "MgAlCdCo",
  "functional": "PBE",
  "state": "optimized geometry",
  "cell": [[3.674, -2.520, 0.188], [2.668, 0.210, 3.567], [0.205, -3.435, 2.836]],
  "species": ["Co", "Mg", "Cd", "Al"],
  "frac_coords": [[0.750, 0.750, 0.750], [0.500, 0.500, 0.500], [0.250, 0.250, 0.250], [0.000, 0.000, 0.000]],
  "magnetic_moment_mub_per_fu": 0.10,
  "final_energy_ha_per_atom": -0.1203,
  "space_group": "F-43m, No. 216"
}

---

Record 4
{
  "formula": "NbAlCdCo",
  "functional": "PBE",
  "state": "optimized geometry",
  "cell": [[0.000, 3.164, 3.164], [3.164, 0.000, 3.164], [3.164, 3.164, 0.000]],
  "species": ["Nb", "Co", "Cd", "Al"],
  "frac_coords": [[0.500, 0.500, 0.500], [0.750, 0.750, 0.750], [0.250, 0.250, 0.250], [0.000, 0.000, 0.000]],
  "magnetic_moment_mub_per_fu": 0.13,
  "final_energy_ha_per_atom": -0.1958,
  "space_group": "F-43m, No. 216"
}

---

Record 5
{
  "formula": "AlCdCoOs",
  "functional": "PBE",
  "state": "optimized geometry",
  "cell": [[0.000, 3.078, 3.078], [3.078, 0.000, 3.078], [3.078, 3.078, 0.000]],
  "species": ["Os", "Cd", "Co", "Al"],
  "frac_coords": [[0.250, 0.250, 0.250], [0.500, 0.500, 0.500], [0.750, 0.750, 0.750], [0.000, 0.000, 0.000]],
  "magnetic_moment_mub_per_fu": 0.92,
  "final_energy_ha_per_atom": -0.2021,
  "space_group": "F-43m, No. 216"
}

---

Record 6
{
  "formula": "AlCdCoRe",
  "functional": "PBE",
  "state": "optimized geometry",
  "cell": [[0.000, 3.097, 3.097], [3.097, 0.000, 3.097], [3.097, 3.097, 0.000]],
  "species": ["Re", "Co", "Cd", "Al"],
  "frac_coords": [[0.250, 0.250, 0.250], [0.750, 0.750, 0.750], [0.500, 0.500, 0.500], [0.000, 0.000, 0.000]],
  "magnetic_moment_mub_per_fu": 1.58,
  "final_energy_ha_per_atom": -0.2057,
  "space_group": "F-43m, No. 216"
}

---

Record 7
{
  "formula": "ScAlCdCo",
  "functional": "PBE",
  "state": "optimized geometry",
  "cell": [[2.493, 1.766, 3.324], [-1.723, 3.230, 2.642], [-1.011, -0.906, 4.306]],
  "species": ["Co", "Al", "Sc", "Cd"],
  "frac_coords": [[0.750, 0.750, 0.750], [0.000, 0.000, 0.000], [0.500, 0.500, 0.500], [0.250, 0.250, 0.250]],
  "magnetic_moment_mub_per_fu": 0.04,
  "final_energy_ha_per_atom": -0.1725,
  "space_group": "F-43m, No. 216"
}

---

Record 8
{
  "formula": "ScAlCdCo",
  "functional": "PBE",
  "state": "optimized geometry",
  "cell": [[4.087, -1.484, 1.258], [0.796, -1.036, 4.334], [0.560, -4.321, 1.228]],
  "species": ["Co", "Cd", "Al", "Sc"],
  "frac_coords": [[0.750, 0.750, 0.750], [0.500, 0.500, 0.500], [0.000, 0.000, 0.000], [0.250, 0.250, 0.250]],
  "magnetic_moment_mub_per_fu": 0.02,
  "final_energy_ha_per_atom": -0.1708,
  "space_group": "F-43m, No. 216"
}

---

Record 9
{
  "formula": "AlCdCoW",
  "functional": "PBE",
  "state": "optimized geometry",
  "cell": [[0.000, 3.118, 3.118], [3.118, 0.000, 3.118], [3.118, 3.118, 0.000]],
  "species": ["Cd", "Al", "W", "Co"],
  "frac_coords": [[0.250, 0.250, 0.250], [0.000, 0.000, 0.000], [0.500, 0.500, 0.500], [0.750, 0.750, 0.750]],
  "magnetic_moment_mub_per_fu": 1.93,
  "final_energy_ha_per_atom": -0.2079,
  "space_group": "F-43m, No. 216"
}

---

Record 10
{
  "formula": "YAlCdCo",
  "functional": "PBE",
  "state": "optimized geometry",
  "cell": [[2.043, -0.923, 4.144], [-2.208, -2.703, 3.165], [1.602, -4.333, 0.923]],
  "species": ["Y", "Al", "Co", "Cd"],
  "frac_coords": [[0.500, 0.500, 0.500], [0.000, 0.000, 0.000], [0.750, 0.750, 0.750], [0.250, 0.250, 0.250]],
  "magnetic_moment_mub_per_fu": 1.08,
  "final_energy_ha_per_atom": -0.1707,
  "space_group": "F-43m, No. 216"
}

---

Record 11
{
  "formula": "YAlCdCo",
  "functional": "PBE",
  "state": "optimized geometry",
  "cell": [[0.000, 3.348, 3.348], [3.348, 0.000, 3.348], [3.348, 3.348, 0.000]],
  "species": ["Cd", "Al", "Y", "Co"],
  "frac_coords": [[0.500, 0.500, 0.500], [0.000, 0.000, 0.000], [0.250, 0.250, 0.250], [0.750, 0.750, 0.750]],
  "magnetic_moment_mub_per_fu": 0.32,
  "final_energy_ha_per_atom": -0.1682,
  "space_group": "F-43m, No. 216"
}

---

Record 12
{
  "formula": "ZrAlCdCo",
  "functional": "PBE",
  "state": "optimized geometry",
  "cell": [[-2.289, 3.397, 2.001], [0.318, 4.241, -1.643], [-3.566, 1.900, -2.112]],
  "species": ["Zr", "Cd", "Al", "Co"],
  "frac_coords": [[0.500, 0.500, 0.500], [0.250, 0.250, 0.250], [0.000, 0.000, 0.000], [0.750, 0.750, 0.750]],
  "magnetic_moment_mub_per_fu": 0.01,
  "final_energy_ha_per_atom": -0.1913,
  "space_group": "F-43m, No. 216"
}

---

Record 13
{
  "formula": "ZrAlCdCo",
  "functional": "PBE",
  "state": "optimized geometry",
  "cell": [[4.002, -1.275, -1.810], [2.229, -3.615, 1.698], [0.282, -3.862, -2.433]],
  "species": ["Zr", "Al", "Co", "Cd"],
  "frac_coords": [[0.250, 0.250, 0.250], [0.000, 0.000, 0.000], [0.750, 0.750, 0.750], [0.500, 0.500, 0.500]],
  "magnetic_moment_mub_per_fu": 0.28,
  "final_energy_ha_per_atom": -0.1861,
  "space_group": "F-43m, No. 216"
}

---

Record 14
{
  "formula": "Cs2AlCdI6",
  "functional": "PBE",
  "state": "optimized geometry",
  "cell": [[4.207, 2.429, 6.825], [-4.207, 2.429, 6.825], [0.000, -4.857, 6.825]],
  "species": ["I", "I", "I", "Cd", "Cs", "Cs", "I", "I", "Al", "I"],
  "frac_coords": [[0.265, 0.215, 0.761], [0.239, 0.735, 0.784], [0.761, 0.265, 0.215], [0.500, 0.500, 0.500], [0.250, 0.250, 0.250], [0.749, 0.749, 0.749], [0.215, 0.761, 0.265], [0.784, 0.239, 0.735], [0.000, 0.000, 0.000], [0.735, 0.784, 0.239]],
  "final_energy_ha_per_atom": -0.0912,
  "space_group": "R3, No. 146"
}

---

Record 15
{
  "formula": "CsAlCdTe3",
  "functional": "PBE",
  "state": "optimized geometry",
  "cell": [[9.613, 0.000, 0.000], [0.000, 4.210, 0.000], [-4.393, 0.000, 10.965]],
  "species": ["Te", "Al", "Te", "Cd", "Cd", "Te", "Al", "Cs", "Cs", "Te", "Te", "Te"],
  "frac_coords": [[0.366, 0.750, 0.626], [0.841, 0.750, 0.403], [0.015, 0.250, 0.356], [0.587, 0.250, 0.119], [0.413, 0.750, 0.881], [0.732, 0.750, 0.042], [0.159, 0.250, 0.597], [0.260, 0.750, 0.229], [0.740, 0.250, 0.771], [0.268, 0.250, 0.958], [0.634, 0.250, 0.374], [0.985, 0.750, 0.644]],
  "final_energy_ha_per_atom": -0.1134,
  "space_group": "P2_1/m, No. 11"
}

---

Record 16
{
  "formula": "AlCdCu2",
  "functional": "PBE",
  "state": "optimized geometry",
  "cell": [[4.212, -1.127, 0.032], [2.256, 0.102, 3.729], [1.247, -3.723, 1.897]],
  "species": ["Cu", "Cu", "Cd", "Al"],
  "frac_coords": [[0.000, 0.000, 0.000], [0.750, 0.750, 0.750], [0.250, 0.250, 0.250], [0.500, 0.500, 0.500]],
  "final_energy_ha_per_atom": -0.1081,
  "space_group": "F-43m, No. 216"
}

---

Record 17
{
  "formula": "AlCdCu",
  "functional": "PBE",
  "state": "optimized geometry",
  "cell": [[-2.813, -3.139, 0.584], [-3.748, 0.099, -2.013], [-0.799, -2.753, -3.145]],
  "species": ["Cd", "Al", "Cu"],
  "frac_coords": [[0.000, 0.000, 0.000], [0.500, 0.500, 0.500], [0.250, 0.250, 0.250]],
  "final_energy_ha_per_atom": -0.1006,
  "space_group": "F-43m, No. 216"
}

---

Record 18
{
  "formula": "AlCdCu6",
  "functional": "PBE",
  "state": "optimized geometry",
  "cell": [[-1.043, -4.098, 3.144], [3.004, -0.659, -4.279], [3.496, 0.889, 2.318]],
  "species": ["Cu", "Cu", "Al", "Cd", "Cu", "Cu", "Cu", "Cu"],
  "frac_coords": [[0.825, 0.651, 0.000], [0.825, 0.175, 0.000], [0.333, 0.667, 0.000], [0.000, 0.000, 0.500], [0.349, 0.175, 0.000], [0.999, 0.499, 0.500], [0.501, 0.001, 0.500], [0.501, 0.499, 0.500]],
  "final_energy_ha_per_atom": -0.1254,
  "space_group": "P-6m2, No. 187"
}

---

Record 19
{
  "formula": "Li2AlCd2GaCu2",
  "functional": "PBE",
  "state": "optimized geometry",
  "cell": [[-2.491, -2.900, -2.202], [2.948, -0.039, -3.283], [3.012, -4.683, 2.761]],
  "species": ["Cd", "Cu", "Ga", "Li", "Cd", "Li", "Al", "Cu"],
  "frac_coords": [[0.000, 0.000, 0.500], [0.000, 0.500, 0.753], [0.500, 0.500, 0.500], [0.000, 0.500, 0.254], [0.500, 0.500, 0.000], [0.500, 0.000, 0.746], [0.000, 0.000, 0.000], [0.500, 0.000, 0.247]],
  "final_energy_ha_per_atom": -0.0967,
  "space_group": "P-4m2, No. 115"
}

---

Record 20
{
  "formula": "HfAlCdCu",
  "functional": "PBE",
  "state": "optimized geometry",
  "cell": [[0.000, 3.280, 3.280], [3.280, 0.000, 3.280], [3.280, 3.280, 0.000]],
  "species": ["Al", "Cu", "Hf", "Cd"],
  "frac_coords": [[0.000, 0.000, 0.000], [0.750, 0.750, 0.750], [0.250, 0.250, 0.250], [0.500, 0.500, 0.500]],
  "magnetic_moment_mub_per_fu": 0.00,
  "final_energy_ha_per_atom": -0.1655,
  "space_group": "F-43m, No. 216"
}